First-principles (PBE with a Hubbard U) data for a relaxed structure of Ba3Ti2MnO9, as listed in the Alexandria database.

For the size of the total moment, the calculation gives 3.01 μB/f.u. The value obtained for the total energy is -7.601 eV/atom.

The space group is P-3m1 (No. 164) and the conventional cell measures 5.6749, 5.6749 and 6.9499 Å, with angles of 90.00, 90.00 and 120.00 degrees. The asymmetric unit holds Ba at (0.0000, 0.0000, 0.0000), Ba at (0.3333, 0.6667, 0.6647), Ti at (0.3333, 0.6667, 0.1683), Mn at (0.0000, 0.0000, 0.5000), O at (0.0000, 0.5000, 0.0000) and O at (0.1653, 0.3306, 0.3347).